Record 1
## K2InSi (PBE)

Data for a relaxed structure of K2InSi.

Computed properties:
Density in g/cm³: 2.8
Distance to the lowest polymorph of the same formula in eV/f.u.: 1.42

a b c (Å): 5.904 5.904 3.784
angles (deg): 90.00 90.00 90.00
Positions (direct):
In: 0.000 0.500 0.500
Si: 0.500 0.000 0.500
K: 0.000 0.000 0.000
K: 0.500 0.500 0.000


Record 2
## K2InSi (PBE)

Data for a relaxed structure of K2InSi.

Computed properties:
Density in g/cm³: 2.6
Distance to the lowest polymorph of the same formula in eV/f.u.: 0.00

a b c (Å): 6.464 6.464 5.981
angles (deg): 62.31 62.31 40.09
Positions (direct):
K: 0.788 0.788 0.712
K: 0.971 0.971 0.022
Si: 0.557 0.557 0.470
In: 0.184 0.184 0.296


Record 3
## KInSi (PBE)

Data for a relaxed structure of KInSi.

Computed properties:
Density in g/cm³: 3.0

a b c (Å): 7.896 3.723 7.510
angles (deg): 90.00 66.14 90.00
Positions (direct):
K: 0.060 0.000 0.880
K: 0.726 0.000 0.508
Si: 0.468 0.000 0.247
Si: 0.672 0.500 0.134
In: 0.439 0.500 0.943
In: 0.172 0.500 0.389


Record 4
## KInSi (PBE)

Data for a relaxed structure of KInSi.

Computed properties:
Density in g/cm³: 2.6

a b c (Å): 6.125 6.125 12.372
angles (deg): 90.00 90.00 90.00
Positions (direct):
K: 0.000 0.770 0.000
K: 0.770 0.000 0.750
K: 0.230 0.000 0.250
K: 0.000 0.230 0.500
In: 0.672 0.328 0.125
In: 0.328 0.672 0.625
In: 0.672 0.672 0.375
In: 0.328 0.328 0.875
Si: 0.050 0.500 0.750
Si: 0.500 0.050 0.000
Si: 0.950 0.500 0.250
Si: 0.500 0.950 0.500


Record 5
## K2InSi (PBE)

Data for a relaxed structure of K2InSi.

Computed properties:
Density in g/cm³: 3.0
Distance to the lowest polymorph of the same formula in eV/f.u.: 1.15

a b c (Å): 6.423 6.423 6.423
angles (deg): 136.94 136.96 62.52
Positions (direct):
Si: 0.750 0.250 0.500
K: 0.000 0.000 0.000
K: 0.500 0.500 0.000
In: 0.250 0.750 0.500


Record 6
## K2InSi (PBE)

Data for a relaxed structure of K2InSi.

Computed properties:
Density in g/cm³: 2.9
Distance to the lowest polymorph of the same formula in eV/f.u.: 1.54

a b c (Å): 11.911 11.911 11.911
angles (deg): 17.10 17.10 17.10
Positions (direct):
Si: 0.250 0.250 0.250
In: 0.750 0.750 0.750
K: 0.994 0.994 0.994
K: 0.506 0.506 0.506


no.,energy (eV per atom)
1,-2.18
2,-2.53
3,-3.02
4,-2.82
5,-2.25
6,-2.15